1.
10
Lattice="-3.8445 4.8719 1.8663 -5.7239 -2.1581 5.0731 2.5152 3.8016 6.5179" Properties=species:S:1:pos:R:3 comment="Th5TlBi4, relaxed, DFT PBE" final_energy_ev_per_atom=-5.956 delta_e_f_kj_per_mol_atoms=-44.1 sg="P-1 (2)" pbc="T T T"
Th -3.6893 6.6076 8.9328
Th -4.2225 2.0033 8.5947
Th -2.8383 4.5217 4.8665
Th -3.3714 -0.0828 4.5282
Th -5.1359 4.0856 12.5266
Tl -0.0049 0.0063 0.0024
Bi -1.8378 4.1308 7.9597
Bi -6.1266 4.4829 9.4497
Bi -0.9341 2.0418 4.0113
Bi -5.2228 2.3938 5.5012

2.
4
Lattice="4.5798 0.0000 0.0000 2.2899 3.9662 0.0000 2.2899 1.3221 7.4473" Properties=species:S:1:pos:R:3 comment="Th2TlBi, relaxed, DFT PBE" final_energy_ev_per_atom=-5.549 delta_e_f_kj_per_mol_atoms=-26.7 sg="R-3m (166)" de_polymorph_mev_per_atom=13 pbc="T T T"
Tl 0.0000 0.0000 0.0000
Bi 4.5798 2.6441 3.7236
Th 2.2899 1.3221 1.7798
Th 6.8697 3.9662 5.6675

3.
20
Lattice="8.1561 0.0000 0.0000 0.0000 9.4635 -0.9400 0.0000 -3.0281 9.0152" Properties=species:S:1:pos:R:3 comment="Th6TlBi3, relaxed, DFT PBE" final_energy_ev_per_atom=-6.019 delta_e_f_kj_per_mol_atoms=-16.0 sg="Cmc2_1 (36)" pbc="T T T"
Th 0.8560 5.3752 5.2757
Th 4.9340 3.9432 6.4169
Th 2.3082 1.9914 7.7429
Th 6.3862 7.1033 3.6690
Th 2.2168 9.0878 -0.6405
Th 5.3972 0.4424 6.2493
Th 1.3191 5.9930 1.8258
Th 6.2948 -2.6523 8.7157
Th 2.3082 -0.6678 4.4061
Th 6.3862 4.4440 0.3322
Th 0.8560 2.4922 1.6582
Th 4.9340 1.0603 2.7994
Tl 0.3053 -0.7471 7.1973
Tl 4.3834 7.1825 0.8778
Bi 3.7789 6.8059 5.4884
Bi 7.8570 3.8313 7.8590
Bi 2.5432 2.6556 4.4856
Bi 6.6212 3.7798 3.5896
Bi 7.8570 -0.3705 2.5867
Bi 3.7789 2.6041 0.2161

4.
4
Lattice="-0.6278 3.0100 -2.7590 1.8191 -0.1813 -3.7047 -6.7381 -3.5550 -5.4380" Properties=species:S:1:pos:R:3 comment="Th2TlBi, relaxed, DFT PBE" final_energy_ev_per_atom=-5.424 delta_e_f_kj_per_mol_atoms=-14.7 sg="R3m (160)" de_polymorph_mev_per_atom=138 pbc="T T T"
Th -5.0385 -2.4836 -4.6559
Th -1.3024 -0.1284 -2.9367
Tl -2.7793 -0.3669 -5.9536
Bi -5.9382 -1.6655 -9.7445

5.
16
Lattice="4.1310 0.0000 0.0000 0.0000 8.7169 0.0000 0.0000 0.0000 14.7181" Properties=species:S:1:pos:R:3 comment="Th2TlBi, relaxed, DFT PBE" final_energy_ev_per_atom=-5.487 delta_e_f_kj_per_mol_atoms=-20.7 sg="Pnma (62)" de_polymorph_mev_per_atom=75 pbc="T T T"
Th 3.0983 2.7905 7.3072
Th 1.0328 5.9265 7.4109
Th 3.0983 7.1489 0.0518
Th 1.0328 1.5680 14.6663
Th 3.0983 1.5168 11.4215
Th 1.0328 2.8417 4.0624
Th 3.0983 5.8752 10.6557
Th 1.0328 7.2001 3.2967
Tl 1.0328 4.6566 1.2281
Tl 1.0328 0.2981 6.1309
Tl 3.0983 4.0603 13.4900
Tl 3.0983 8.4188 8.5872
Bi 3.0983 0.8638 2.4147
Bi 1.0328 7.8531 12.3034
Bi 3.0983 5.2223 4.9443
Bi 1.0328 3.4946 9.7738

6.
4
Lattice="-0.5390 -3.0929 -1.5799 1.2828 -0.5751 -3.2212 10.5538 -5.5055 3.2682" Properties=species:S:1:pos:R:3 comment="ThTl2Bi, relaxed, DFT PBE" final_energy_ev_per_atom=-3.833 delta_e_f_kj_per_mol_atoms=16.9 sg="R-3m (166)" de_polymorph_mev_per_atom=418 pbc="T T T"
Tl 7.7779 -4.3519 1.9568
Tl 3.5197 -4.8216 -3.4897
Bi 5.6488 -4.5867 -0.7665
Th 0.0000 0.0000 0.0000

Which formula does entry 5 have?
Th2TlBi

Please write out number 2 again, unchanged.
4
Lattice="4.5798 0.0000 0.0000 2.2899 3.9662 0.0000 2.2899 1.3221 7.4473" Properties=species:S:1:pos:R:3 comment="Th2TlBi, relaxed, DFT PBE" final_energy_ev_per_atom=-5.549 delta_e_f_kj_per_mol_atoms=-26.7 sg="R-3m (166)" de_polymorph_mev_per_atom=13 pbc="T T T"
Tl 0.0000 0.0000 0.0000
Bi 4.5798 2.6441 3.7236
Th 2.2899 1.3221 1.7798
Th 6.8697 3.9662 5.6675

Number 5 is which compound?
Th2TlBi

What is the formula in the second record?
Th2TlBi